{
  "formula": "K4Zr3Te8Pd",
  "functional": "GGA-PBE",
  "state": "optimized geometry",
  "formation_energy_uncorrected_kj_per_mol_fu": -1329,
  "mass_density_g_cm3": 5.03,
  "crystal_system": "monoclinic",
  "vol_a3_per_cell": 514,
  "m_tot_mub_per_cell": 0.00,
  "spacegroup": "C2/m",
  "lattice_angstrom": [[7.384, -4.257, 0.000], [7.384, 4.257, 0.000], [-4.926, 0.000, 8.184]],
  "species": ["K", "K", "K", "K", "Zr", "Zr", "Zr", "Te", "Te", "Te", "Te", "Te", "Te", "Te", "Te", "Pd"],
  "fractional_positions": [[0.000, 0.000, 0.000], [0.000, 0.500, 0.000], [0.500, 0.000, 0.000], [0.500, 0.500, 0.000], [0.000, 0.000, 0.500], [0.000, 0.500, 0.500], [0.500, 0.000, 0.500], [0.235, 0.235, 0.706], [0.237, 0.728, 0.692], [0.271, 0.271, 0.307], [0.272, 0.763, 0.308], [0.728, 0.237, 0.692], [0.729, 0.729, 0.693], [0.763, 0.272, 0.308], [0.765, 0.765, 0.294], [0.500, 0.500, 0.500]]
}

{
  "formula": "KZr3Te6Pd2",
  "functional": "GGA-PBE",
  "state": "optimized geometry",
  "formation_energy_uncorrected_kj_per_mol_fu": -799,
  "mass_density_g_cm3": 6.10,
  "crystal_system": "monoclinic",
  "vol_a3_per_cell": 352,
  "m_tot_mub_per_cell": 0.00,
  "spacegroup": "C2/m",
  "lattice_angstrom": [[9.532, -2.117, 0.000], [9.532, 2.117, 0.000], [-2.841, 0.000, 8.714]],
  "species": ["K", "Zr", "Zr", "Zr", "Te", "Te", "Te", "Te", "Te", "Te", "Pd", "Pd"],
  "fractional_positions": [[0.000, 0.000, 0.000], [0.000, 0.000, 0.500], [0.360, 0.360, 0.175], [0.640, 0.640, 0.825], [0.161, 0.161, 0.620], [0.191, 0.191, 0.074], [0.478, 0.478, 0.708], [0.522, 0.522, 0.292], [0.809, 0.809, 0.926], [0.839, 0.839, 0.380], [0.371, 0.371, 0.854], [0.629, 0.629, 0.146]]
}

{
  "formula": "KTiPd3",
  "functional": "GGA-PBE",
  "state": "optimized geometry",
  "mass_density_g_cm3": 5.80,
  "crystal_system": "cubic",
  "formation_energy_ev_per_atom": 1.507,
  "vol_a3_per_cell": 116,
  "m_tot_mub_per_cell": 0.09,
  "polymorph_energy_mev_per_atom": 1282,
  "spacegroup": "Pm-3m",
  "lattice_angstrom": [[4.882, 0.000, 0.000], [0.000, 4.882, 0.000], [0.000, 0.000, 4.882]],
  "species": ["K", "Ti", "Pd", "Pd", "Pd"],
  "fractional_positions": [[0.000, 0.000, 0.000], [0.500, 0.500, 0.500], [0.000, 0.000, 0.500], [0.000, 0.500, 0.000], [0.500, 0.000, 0.000]]
}

{
  "formula": "KTiPd3",
  "functional": "GGA-PBE",
  "state": "optimized geometry",
  "mass_density_g_cm3": 5.95,
  "crystal_system": "cubic",
  "formation_energy_ev_per_atom": 0.224,
  "vol_a3_per_cell": 113,
  "m_tot_mub_per_cell": 0.00,
  "polymorph_energy_mev_per_atom": 0,
  "spacegroup": "Pm-3m",
  "lattice_angstrom": [[4.840, 0.000, 0.000], [0.000, 4.840, 0.000], [0.000, 0.000, 4.840]],
  "species": ["K", "Ti", "Pd", "Pd", "Pd"],
  "fractional_positions": [[0.000, 0.000, 0.000], [0.500, 0.500, 0.500], [0.000, 0.500, 0.500], [0.500, 0.000, 0.500], [0.500, 0.500, 0.000]]
}

{
  "formula": "KTi3Pd",
  "functional": "GGA-PBE",
  "state": "optimized geometry",
  "mass_density_g_cm3": 5.38,
  "crystal_system": "cubic",
  "formation_energy_ev_per_atom": 1.823,
  "vol_a3_per_cell": 89,
  "m_tot_mub_per_cell": 2.67,
  "polymorph_energy_mev_per_atom": 1050,
  "spacegroup": "Pm-3m",
  "lattice_angstrom": [[4.469, 0.000, 0.000], [0.000, 4.469, 0.000], [0.000, 0.000, 4.469]],
  "species": ["K", "Ti", "Ti", "Ti", "Pd"],
  "fractional_positions": [[0.000, 0.000, 0.000], [0.000, 0.000, 0.500], [0.000, 0.500, 0.000], [0.500, 0.000, 0.000], [0.500, 0.500, 0.500]]
}

{
  "formula": "K3TiPd",
  "functional": "GGA-PBE",
  "state": "optimized geometry",
  "mass_density_g_cm3": 1.93,
  "crystal_system": "cubic",
  "formation_energy_ev_per_atom": 0.964,
  "vol_a3_per_cell": 234,
  "m_tot_mub_per_cell": 0.12,
  "polymorph_energy_mev_per_atom": 0,
  "spacegroup": "Pm-3m",
  "lattice_angstrom": [[6.164, 0.000, 0.000], [0.000, 6.164, 0.000], [0.000, 0.000, 6.164]],
  "species": ["K", "K", "K", "Ti", "Pd"],
  "fractional_positions": [[0.000, 0.000, 0.500], [0.000, 0.500, 0.000], [0.500, 0.000, 0.000], [0.500, 0.500, 0.500], [0.000, 0.000, 0.000]]
}

{
  "formula": "KTi2Pd2",
  "functional": "GGA-PBE",
  "state": "optimized geometry",
  "mass_density_g_cm3": 6.04,
  "crystal_system": "tetragonal",
  "formation_energy_ev_per_atom": -0.074,
  "vol_a3_per_cell": 191,
  "m_tot_mub_per_cell": 2.95,
  "polymorph_energy_mev_per_atom": 0,
  "spacegroup": "P4/mbm",
  "lattice_angstrom": [[8.206, 0.000, 0.000], [0.000, 8.206, 0.000], [0.000, 0.000, 2.841]],
  "species": ["K", "K", "Ti", "Ti", "Ti", "Ti", "Pd", "Pd", "Pd", "Pd"],
  "fractional_positions": [[0.000, 0.000, 0.000], [0.500, 0.500, 0.000], [0.116, 0.384, 0.000], [0.384, 0.884, 0.000], [0.616, 0.116, 0.000], [0.884, 0.616, 0.000], [0.171, 0.671, 0.500], [0.329, 0.171, 0.500], [0.671, 0.829, 0.500], [0.829, 0.329, 0.500]]
}

{
  "formula": "KTi3Pd",
  "functional": "GGA-PBE",
  "state": "optimized geometry",
  "mass_density_g_cm3": 3.92,
  "crystal_system": "cubic",
  "formation_energy_ev_per_atom": 0.774,
  "vol_a3_per_cell": 122,
  "m_tot_mub_per_cell": 0.00,
  "polymorph_energy_mev_per_atom": 0,
  "spacegroup": "Pm-3m",
  "lattice_angstrom": [[4.966, 0.000, 0.000], [0.000, 4.966, 0.000], [0.000, 0.000, 4.966]],
  "species": ["K", "Ti", "Ti", "Ti", "Pd"],
  "fractional_positions": [[0.000, 0.000, 0.000], [0.000, 0.500, 0.500], [0.500, 0.000, 0.500], [0.500, 0.500, 0.000], [0.500, 0.500, 0.500]]
}